(1)
DFT (PBE-GGA) results for a geometry-optimized FeNi6Sn structure.

```
data_FeNi6Sn
_cell_length_a 7.2780
_cell_length_b 10.3063
_cell_length_c 10.3213
_cell_angle_alpha 90.00
_cell_angle_beta 90.00
_cell_angle_gamma 90.00
_symmetry_space_group_name_H-M 'C m m m'
_symmetry_Int_Tables_number 65
_symmetry_space_group_name_Hall '-C 2 2'
loop_
_atom_site_label
_atom_site_type_symbol
_atom_site_fract_x
_atom_site_fract_y
_atom_site_fract_z
Fe1 Fe 0.0000 0.0000 0.2449
Fe2 Fe 0.0000 0.2502 0.0000
Ni1 Ni 0.0000 0.0000 0.0000
Ni2 Ni 0.0000 0.0000 0.5000
Ni3 Ni 0.0000 0.2450 0.2402
Ni4 Ni 0.0000 0.5000 0.0000
Ni5 Ni 0.0000 0.5000 0.5000
Ni6 Ni 0.2409 0.1219 0.3692
Ni7 Ni 0.2426 0.1282 0.1195
Sn1 Sn 0.0000 0.2531 0.5000
Sn2 Sn 0.0000 0.5000 0.2461
```

Output
DFT total energy = -6.00 eV/atom
Distance to the lowest polymorph of the same formula = 0.0 meV per atom
Formation energy = -0.106 eV/atom

***

(2)
DFT (PBE-GGA) results for a geometry-optimized Fe2Ni8Sn structure.

```
data_Fe2Ni8Sn
_cell_length_a 13.0217
_cell_length_b 3.6205
_cell_length_c 5.7437
_cell_angle_alpha 90.00
_cell_angle_beta 105.60
_cell_angle_gamma 90.00
_symmetry_space_group_name_H-M 'C 1 2/m 1'
_symmetry_Int_Tables_number 12
_symmetry_space_group_name_Hall '-C 2y'
loop_
_atom_site_label
_atom_site_type_symbol
_atom_site_fract_x
_atom_site_fract_y
_atom_site_fract_z
Fe1 Fe 0.2262 0.0000 0.1467
Ni1 Ni 0.0479 0.0000 0.2150
Ni2 Ni 0.0953 0.5000 0.9665
Ni3 Ni 0.1451 0.0000 0.6988
Ni4 Ni 0.1858 0.5000 0.4091
Sn1 Sn 0.0000 0.5000 0.5000
```

Output
DFT total energy = -6.18 eV/atom
Formation energy = -0.075 eV/atom

***

(3)
DFT (PBE-GGA) results for a geometry-optimized FeNi2Sn2 structure.

```
data_FeNi2Sn2
_cell_length_a 6.6704
_cell_length_b 6.6704
_cell_length_c 3.5660
_cell_angle_alpha 90.00
_cell_angle_beta 90.00
_cell_angle_gamma 90.00
_symmetry_space_group_name_H-M 'P 4/m b m'
_symmetry_Int_Tables_number 127
_symmetry_space_group_name_Hall '-P 4 2ab'
loop_
_atom_site_label
_atom_site_type_symbol
_atom_site_fract_x
_atom_site_fract_y
_atom_site_fract_z
Fe1 Fe 0.0000 0.0000 0.0000
Ni1 Ni 0.1313 0.3687 0.0000
Sn1 Sn 0.1716 0.6716 0.5000
```

Output
DFT total energy = -5.52 eV/atom
Formation energy = 0.082 eV/atom

***

(4)
DFT (PBE-GGA) results for a geometry-optimized Fe2Ni2Sn structure.

```
data_Fe2Ni2Sn
_cell_length_a 7.0943
_cell_length_b 7.0943
_cell_length_c 2.7431
_cell_angle_alpha 90.00
_cell_angle_beta 90.00
_cell_angle_gamma 90.00
_symmetry_space_group_name_H-M 'P 4/m b m'
_symmetry_Int_Tables_number 127
_symmetry_space_group_name_Hall '-P 4 2ab'
loop_
_atom_site_label
_atom_site_type_symbol
_atom_site_fract_x
_atom_site_fract_y
_atom_site_fract_z
Fe1 Fe 0.1182 0.3818 0.0000
Ni1 Ni 0.1714 0.6714 0.5000
Sn1 Sn 0.0000 0.0000 0.0000
```

Output
DFT total energy = -6.32 eV/atom
Formation energy = 0.182 eV/atom